Record 1
! GGA-PBE Ac2In9Pd3, optimized geometry; values from VASP
&SYSTEM
  ibrav = 0, nat = 28, ntyp = 3
/
ATOMIC_SPECIES
In 114.82 In.upf
Pd 106.42 Pd.upf
Ac 227.00 Ac.upf
CELL_PARAMETERS angstrom
7.855 -0.026 -3.300
-4.615 7.162 -0.012
0.340 0.247 11.792
ATOMIC_POSITIONS crystal
In 0.133 0.982 0.944
In 0.538 0.189 0.556
In 0.213 0.522 0.572
In 0.329 0.293 0.248
In 0.462 0.811 0.444
In 0.785 0.311 0.927
In 0.879 0.129 0.750
In 0.787 0.478 0.428
In 0.545 0.081 0.252
In 0.671 0.707 0.752
In 0.215 0.689 0.073
In 0.116 0.142 0.427
In 0.455 0.919 0.748
In 0.884 0.858 0.573
In 0.867 0.018 0.056
In 0.449 0.640 0.928
In 0.121 0.871 0.250
In 0.551 0.360 0.072
Pd 0.500 0.500 0.500
Pd 0.835 0.168 0.500
Pd 0.168 0.335 0.000
Pd 0.165 0.832 0.500
Pd 0.832 0.665 0.000
Pd 0.500 0.000 0.000
Ac 0.000 0.415 0.249
Ac 0.666 0.751 0.251
Ac 0.334 0.249 0.749
Ac 0.000 0.585 0.751
! - size of the total moment (μB per cell) = 0.0
! - crystal system = monoclinic
! - space group = C2/c (15)
! - N(E_F) (states/eV/atom) = 0.35
! - formation enthalpy at 0 K (eV per atom) = -0.459


Record 2
! GGA-PBE Pm12Sm2Mg, optimized geometry; values from VASP
&SYSTEM
  ibrav = 0, nat = 30, ntyp = 3
/
ATOMIC_SPECIES
Pm 145.00 Pm.upf
Mg 24.30 Mg.upf
Sm 150.36 Sm.upf
CELL_PARAMETERS angstrom
-1.897 1.597 6.164
6.160 -1.167 2.198
5.894 23.207 -4.199
ATOMIC_POSITIONS crystal
Pm 0.500 0.500 0.203
Pm 0.833 0.333 0.564
Pm 0.500 0.500 0.329
Pm 0.667 0.167 0.436
Pm 0.758 0.742 0.901
Pm 0.742 0.242 0.901
Pm 0.258 0.242 0.099
Pm 0.242 0.742 0.099
Pm 0.333 0.167 0.564
Pm 0.742 0.758 0.099
Pm 0.242 0.258 0.901
Pm 0.000 0.000 0.203
Pm 0.333 0.833 0.436
Pm 0.833 0.667 0.436
Pm 0.167 0.667 0.564
Pm 0.758 0.258 0.099
Pm 0.258 0.758 0.901
Pm 0.000 0.000 0.671
Pm 0.000 0.000 0.797
Pm 0.000 0.000 0.329
Pm 0.500 0.500 0.797
Pm 0.667 0.833 0.564
Pm 0.167 0.333 0.436
Pm 0.500 0.500 0.671
Mg 0.000 0.500 0.000
Mg 0.500 0.000 0.000
Sm 0.500 0.000 0.755
Sm 0.500 0.000 0.245
Sm 0.000 0.500 0.755
Sm 0.000 0.500 0.245
! - size of the total moment (μB per cell) = 0.0
! - crystal system = tetragonal
! - space group = P4/nbm (125)
! - N(E_F) (states/eV/atom) = 1.04
! - formation enthalpy at 0 K (eV per atom) = 0.291


no.,VASP energy (eV/cell)
1,-109.72
2,-127.36